Bi2S2I | PBE-GGA | relaxed

The structure in CIF format:
```
data_Bi2S2I
_chemical_formula_sum 'Bi4 S4 I2'
_cell_length_a 7.777
_cell_length_b 4.133
_cell_length_c 11.345
_cell_angle_alpha 90.00
_cell_angle_beta 105.25
_cell_angle_gamma 90.00
_symmetry_space_group_name_H-M 'C 1 2/m 1'
_symmetry_Int_Tables_number 12
_symmetry_space_group_name_Hall '-C 2y'
loop_
_atom_site_label
_atom_site_type_symbol
_atom_site_fract_x
_atom_site_fract_y
_atom_site_fract_z
_atom_site_occupancy
Bi1 Bi 0.110 0.000 0.277 1
S1 S 0.228 0.500 0.171 1
I1 I 0.000 0.500 0.500 1
```

Output
- D(E_F): 1.45 states/eV/f.u.
- VASP energy: -3.71 eV/atom
- Relative energy among the computed polymorphs: 63.6 meV per atom
- Energy relative to the elements, uncorrected: -192 meV per atom